# MnCrIn2O6, relaxed, DFT GGA+U
# Energy, eV per atom: -6.6436
# Total magnetic moment, μB/cell: 7.0
data_MnCrIn2O6
_cell_length_a 5.264
_cell_length_b 5.375
_cell_length_c 5.531
_cell_angle_alpha 62.60
_cell_angle_beta 89.98
_cell_angle_gamma 61.63
_symmetry_space_group_name_H-M 'P 1'
_symmetry_Int_Tables_number 1
_symmetry_space_group_name_Hall 'P 1'
loop_
_atom_site_label
_atom_site_type_symbol
_atom_site_fract_x
_atom_site_fract_y
_atom_site_fract_z
Mn1 Mn 0.000 0.000 0.000
Cr1 Cr 0.503 0.992 0.508
In1 In 0.214 0.567 0.638
In2 In 0.719 0.558 0.144
O1 O 0.130 0.084 0.285
O2 O 0.281 0.084 0.793
O3 O 0.393 0.462 0.307
O4 O 0.620 0.511 0.781
O5 O 0.788 0.835 0.289
O6 O 0.881 0.835 0.795